Entry 1:
VASP calculation (PBE-GGA) on a relaxed structure of ScTe2Ir.

Values from the calculation:
volume	93.86	Å³/cell
E_tot	-5.530	eV/atom
ΔE_f (raw)	-0.161	eV per atom
N(E_F)	2.4	states/eV per cell
space-group type	No. 12
relative energy among the computed polymorphs	523	meV per atom
M_tot	0.00	μB/f.u.

abc: 5.394 5.394 4.591
angles: 110.73 110.73 113.30
Atoms (fractional coordinates):
Sc1 0.000 0.000 0.000
Te1 0.000 0.500 0.500
Te2 0.500 0.000 0.500
Ir1 0.500 0.500 0.000

---

Entry 2:
VASP calculation (PBE-GGA) on a relaxed structure of K2MnTlBi.

Values from the calculation:
volume	201.19	Å³/cell
E_tot	-3.010	eV/atom
N(E_F)	4.9	states/eV per cell
space-group type	No. 123
M_tot	4.85	μB/f.u.

abc: 6.195 6.195 5.242
angles: 90.00 90.00 90.00
Atoms (fractional coordinates):
K1 0.000 0.500 0.000
K2 0.500 0.000 0.000
Mn1 0.000 0.000 0.000
Tl1 0.000 0.000 0.500
Bi1 0.500 0.500 0.500

---

Entry 3:
VASP calculation (PBE-GGA) on a relaxed structure of Th2Al3Au2.

Values from the calculation:
volume	312.40	Å³/cell
E_tot	-5.228	eV/atom
N(E_F)	8.5	states/eV per cell
space-group type	No. 63
relative energy among the computed polymorphs	0	meV per atom
M_tot	0.00	μB/f.u.

abc: 9.917 9.917 7.215
angles: 90.00 90.00 153.88
Atoms (fractional coordinates):
Th1 0.047 0.953 0.750
Th2 0.157 0.843 0.250
Th3 0.843 0.157 0.750
Th4 0.953 0.047 0.250
Al1 0.221 0.779 0.750
Al2 0.441 0.559 0.572
Al3 0.441 0.559 0.928
Al4 0.559 0.441 0.072
Al5 0.559 0.441 0.428
Al6 0.779 0.221 0.250
Au1 0.314 0.686 0.050
Au2 0.314 0.686 0.450
Au3 0.686 0.314 0.550
Au4 0.686 0.314 0.950

---

Entry 4:
VASP calculation (PBE-GGA) on a relaxed structure of Li3AlMo.

Values from the calculation:
volume	117.88	Å³/cell
E_tot	-2.770	eV/atom
N(E_F)	2.9	states/eV per cell
space-group type	No. 221
relative energy among the computed polymorphs	126	meV per atom
M_tot	3.82	μB/f.u.

abc: 4.903 4.903 4.903
angles: 90.00 90.00 90.00
Atoms (fractional coordinates):
Li1 0.000 0.000 0.500
Li2 0.000 0.500 0.000
Li3 0.500 0.000 0.000
Al1 0.500 0.500 0.500
Mo1 0.000 0.000 0.000

---

Entry 5:
VASP calculation (PBE-GGA) on a relaxed structure of Pu2TlO.

Values from the calculation:
volume	82.58	Å³/cell
E_tot	-9.396	eV/atom
ΔE_f (raw)	-0.399	eV per atom
N(E_F)	5.4	states/eV per cell
space-group type	No. 166
relative energy among the computed polymorphs	724	meV per atom
M_tot	0.00	μB/f.u.

abc: 6.180 6.180 6.180
angles: 38.61 38.61 38.61
Atoms (fractional coordinates):
Pu1 0.188 0.188 0.188
Pu2 0.812 0.812 0.812
Tl1 0.000 0.000 0.000
O1 0.500 0.500 0.500

---

Entry 6:
VASP calculation (PBE-GGA) on a relaxed structure of RbCdBi2Pb.

Values from the calculation:
volume	191.05	Å³/cell
E_tot	-2.835	eV/atom
N(E_F)	2.8	states/eV per cell
space-group type	No. 119
M_tot	0.00	μB/f.u.

abc: 7.875 7.875 7.875
angles: 141.11 141.11 56.18
Atoms (fractional coordinates):
Rb1 0.000 0.000 0.000
Cd1 0.250 0.750 0.500
Bi1 0.379 0.379 0.000
Bi2 0.621 0.621 0.000
Pb1 0.750 0.250 0.500

---

Entry 7:
VASP calculation (PBE-GGA) on a relaxed structure of Mg2ScZnPd2.

Values from the calculation:
volume	218.08	Å³/cell
E_tot	-4.125	eV/atom
N(E_F)	5.5	states/eV per cell
space-group type	No. 26
M_tot	0.00	μB/f.u.

abc: 3.761 8.440 6.870
angles: 90.00 90.00 90.00
Atoms (fractional coordinates):
Mg1 0.000 0.081 0.000
Mg2 0.000 0.919 0.500
Mg3 0.500 0.186 0.327
Mg4 0.500 0.814 0.827
Sc1 0.500 0.418 0.912
Sc2 0.500 0.582 0.412
Zn1 0.000 0.315 0.594
Zn2 0.000 0.685 0.094
Pd1 0.000 0.392 0.208
Pd2 0.000 0.608 0.708
Pd3 0.500 0.119 0.710
Pd4 0.500 0.881 0.210

---

Entry 8:
VASP calculation (PBE-GGA) on a relaxed structure of K2AlNi.

Values from the calculation:
volume	121.88	Å³/cell
E_tot	-2.783	eV/atom
N(E_F)	0.9	states/eV per cell
space-group type	No. 71
M_tot	0.00	μB/f.u.

abc: 10.439 10.439 10.439
angles: 162.26 159.41 27.31
Atoms (fractional coordinates):
K1 0.147 0.147 0.000
K2 0.853 0.853 0.000
Al1 0.500 0.000 0.500
Ni1 0.000 0.500 0.500